TmScAlOs | Alexandria | PBE | relaxed; symmetry = F-43m (216); energy = -0.2509 Ha/atom; E_form = -383 meV per atom; total magnetic moment = 0.0 μB/f.u.
1.0
0.000 3.367 3.367
3.367 0.000 3.367
3.367 3.367 0.000
Tm Sc Al Os
1 1 1 1
Direct
0.000 0.000 0.000 Tm
0.500 0.500 0.500 Sc
0.750 0.750 0.750 Al
0.250 0.250 0.250 Os